## P
Here is an optimized crystal structure of ZnPdAu6 from Alexandria via LeMat-Bulk. Energies are from PBE.

Properties
Total magnetization: 0.0 μB per formula unit
Theoretical density: 16.26 Mg/m³

a = 4.0722 Å, b = 4.0722 Å, c = 16.6771 Å
α = 90.00°, β = 90.00°, γ = 90.00°
Space group I4/mmm (No. 139)
Symmetry-distinct sites (fractional):
Zn (0.0000, 0.0000, 0.0000) (multiplicity 2)
Pd (0.0000, 0.0000, 0.5000) (multiplicity 2)
Au (0.0000, 0.0000, 0.2530) (multiplicity 4)
Au (0.0000, 0.5000, 0.1191) (multiplicity 8)

***

## Q
Here is an optimized crystal structure of ZnPdAu6 from Alexandria via LeMat-Bulk. Energies are from PBE.

Properties
Total magnetization: 0.0 μB per formula unit
Theoretical density: 15.41 Mg/m³

a = 5.1004 Å, b = 5.3609 Å, c = 5.3655 Å
α = 93.19°, β = 94.09°, γ = 93.11°
Space group P-1 (No. 2)
Symmetry-distinct sites (fractional):
Zn (0.0000, 0.0000, 0.0000) (multiplicity 1)
Pd (0.5000, 0.5000, 0.5000) (multiplicity 1)
Au (0.0332, 0.7475, 0.4286) (multiplicity 2)
Au (0.2507, 0.5825, 0.9468) (multiplicity 2)
Au (0.4484, 0.0392, 0.7464) (multiplicity 2)

***

Most stable: P (next structure +9.0 kJ/mol of atoms)

***

## P
Here is an optimized crystal structure of Zn2Pd3Au4 from Alexandria via LeMat-Bulk. Energies are from PBE.

Properties
Total magnetization: 0.0 μB per formula unit
Theoretical density: 13.72 Mg/m³

a = 2.8748 Å, b = 7.7416 Å, c = 13.4595 Å
α = 90.00°, β = 90.00°, γ = 90.00°
Space group Immm (No. 71)
Symmetry-distinct sites (fractional):
Zn (0.0000, 0.1781, 0.0000) (multiplicity 4)
Pd (0.0000, 0.0000, 0.5000) (multiplicity 2)
Pd (0.0000, 0.5000, 0.3674) (multiplicity 4)
Au (0.0000, 0.3244, 0.1694) (multiplicity 8)

***

## Q
Here is an optimized crystal structure of Zn2Pd3Au4 from Alexandria via LeMat-Bulk. Energies are from PBE.

Properties
Total magnetization: 0.0 μB per formula unit
Theoretical density: 13.51 Mg/m³

a = 16.1514 Å, b = 2.8872 Å, c = 6.6592 Å
α = 90.00°, β = 101.54°, γ = 90.00°
Space group C2/m (No. 12)
Symmetry-distinct sites (fractional):
Zn (0.1451, 0.0000, 0.0715) (multiplicity 4)
Pd (0.0000, 0.5000, 0.0000) (multiplicity 2)
Pd (0.1136, 0.5000, 0.3842) (multiplicity 4)
Au (0.0518, 0.0000, 0.6931) (multiplicity 4)
Au (0.2261, 0.0000, 0.7142) (multiplicity 4)

***

Most stable: P (next structure +1.1 kJ/mol of atoms)

***

## P
Here is an optimized crystal structure of Zn2PdAu3 from Alexandria via LeMat-Bulk. Energies are from PBE.

Properties
Total magnetization: 0.0 μB per formula unit
Theoretical density: 13.47 Mg/m³

a = 14.9397 Å, b = 4.1211 Å, c = 6.6314 Å
α = 90.00°, β = 90.61°, γ = 90.00°
Space group C2/m (No. 12)
Symmetry-distinct sites (fractional):
Zn (0.0411, 0.0000, 0.2071) (multiplicity 4)
Zn (0.2301, 0.5000, 0.6563) (multiplicity 4)
Pd (0.1518, 0.5000, 0.2856) (multiplicity 4)
Au (0.0653, 0.5000, 0.8481) (multiplicity 4)
Au (0.1152, 0.0000, 0.5693) (multiplicity 4)
Au (0.1862, 0.0000, 0.9821) (multiplicity 4)

***

## Q
Here is an optimized crystal structure of Zn2PdAu3 from Alexandria via LeMat-Bulk. Energies are from PBE.

Properties
Total magnetization: 0.0 μB per formula unit
Theoretical density: 13.36 Mg/m³

a = 5.5350 Å, b = 13.4286 Å, c = 5.5406 Å
α = 90.00°, β = 90.00°, γ = 90.00°
Space group Ibam (No. 72)
Symmetry-distinct sites (fractional):
Zn (0.2334, 0.1371, 0.0000) (multiplicity 8)
Pd (0.0000, 0.0000, 0.2500) (multiplicity 4)
Au (0.0000, 0.5000, 0.2500) (multiplicity 4)
Au (0.2504, 0.1718, 0.5000) (multiplicity 8)

***

Most stable: P (next structure +2.5 kJ/mol of atoms)

***

## P
Here is an optimized crystal structure of ZnPd8Au2 from Alexandria via LeMat-Bulk. Energies are from PBE.

Properties
Total magnetization: 0.0 μB per formula unit
Theoretical density: 11.80 Mg/m³

a = 8.0580 Å, b = 10.6715 Å, c = 4.2903 Å
α = 90.00°, β = 90.00°, γ = 90.00°
Space group Cmmm (No. 65)
Symmetry-distinct sites (fractional):
Zn (0.0000, 0.0000, 0.0000) (multiplicity 2)
Pd (0.0000, 0.2331, 0.0000) (multiplicity 4)
Pd (0.1668, 0.1293, 0.5000) (multiplicity 8)
Pd (0.1757, 0.5000, 0.0000) (multiplicity 4)
Au (0.0000, 0.3741, 0.5000) (multiplicity 4)

***

## Q
Here is an optimized crystal structure of ZnPd8Au2 from Alexandria via LeMat-Bulk. Energies are from PBE.

Properties
Total magnetization: 0.0 μB per formula unit
Theoretical density: 10.89 Mg/m³

a = 9.9783 Å, b = 8.8046 Å, c = 4.7969 Å
α = 90.00°, β = 108.52°, γ = 90.00°
Space group C2/m (No. 12)
Symmetry-distinct sites (fractional):
Zn (0.0000, 0.0000, 0.0000) (multiplicity 2)
Pd (0.0702, 0.5000, 0.2959) (multiplicity 4)
Pd (0.0830, 0.2423, 0.8119) (multiplicity 8)
Pd (0.2265, 0.5000, 0.8925) (multiplicity 4)
Au (0.1462, 0.0000, 0.5255) (multiplicity 4)

***

Most stable: P (next structure +16.7 kJ/mol of atoms)

***

## P
Here is an optimized crystal structure of Zn7Pd3Au from Alexandria via LeMat-Bulk. Energies are from PBE.

Properties
Total magnetization: 0.0 μB per formula unit
Theoretical density: 8.96 Mg/m³

a = 9.3525 Å, b = 9.3964 Å, c = 4.7631 Å
α = 90.00°, β = 120.36°, γ = 90.00°
Space group C2/m (No. 12)
Symmetry-distinct sites (fractional):
Zn (0.0000, 0.0000, 0.0000) (multiplicity 2)
Zn (0.1701, 0.2618, 0.6701) (multiplicity 8)
Zn (0.1755, 0.5000, 0.1756) (multiplicity 4)
Pd (0.0000, 0.2744, 0.0000) (multiplicity 4)
Pd (0.0000, 0.5000, 0.5000) (multiplicity 2)
Au (0.0000, 0.0000, 0.5000) (multiplicity 2)

***

## Q
Here is an optimized crystal structure of Zn7Pd3Au from Alexandria via LeMat-Bulk. Energies are from PBE.

Properties
Total magnetization: 0.0 μB per formula unit
Theoretical density: 7.99 Mg/m³

a = 2.8448 Å, b = 34.1398 Å, c = 8.3328 Å
α = 90.00°, β = 90.00°, γ = 90.00°
Space group Cmcm (No. 63)
Symmetry-distinct sites (fractional):
Zn (0.0000, 0.0322, 0.2500) (multiplicity 4)
Zn (0.0000, 0.0332, 0.5794) (multiplicity 8)
Zn (0.0000, 0.1412, 0.5301) (multiplicity 8)
Zn (0.0000, 0.2247, 0.5733) (multiplicity 8)
Pd (0.0000, 0.3220, 0.2500) (multiplicity 4)
Pd (0.0000, 0.4150, 0.5871) (multiplicity 8)
Au (0.0000, 0.4105, 0.2500) (multiplicity 4)

***

Most stable: P (next structure +6.1 kJ/mol of atoms)

***

## P
Here is an optimized crystal structure of ZnPd2Au5 from Alexandria via LeMat-Bulk. Energies are from PBE.

Properties
Total magnetization: 0.0 μB per formula unit
Theoretical density: 15.52 Mg/m³

a = 5.7874 Å, b = 11.5607 Å, c = 4.0402 Å
α = 90.00°, β = 90.00°, γ = 90.00°
Space group Pbam (No. 55)
Symmetry-distinct sites (fractional):
Zn (0.0000, 0.0000, 0.0000) (multiplicity 2)
Pd (0.2352, 0.1189, 0.5000) (multiplicity 4)
Au (0.0000, 0.5000, 0.0000) (multiplicity 2)
Au (0.0093, 0.7540, 0.0000) (multiplicity 4)
Au (0.2431, 0.3753, 0.5000) (multiplicity 4)

***

## Q
Here is an optimized crystal structure of ZnPd2Au5 from Alexandria via LeMat-Bulk. Energies are from PBE.

Properties
Total magnetization: 0.0 μB per formula unit
Theoretical density: 11.37 Mg/m³

a = 4.3534 Å, b = 17.2064 Å, c = 9.8530 Å
α = 90.00°, β = 90.00°, γ = 90.00°
Space group Cmcm (No. 63)
Symmetry-distinct sites (fractional):
Zn (0.0000, 0.1634, 0.2500) (multiplicity 4)
Pd (0.0000, 0.1225, 0.6086) (multiplicity 8)
Au (0.0000, 0.0365, 0.1172) (multiplicity 8)
Au (0.0000, 0.2585, 0.7500) (multiplicity 4)
Au (0.0000, 0.2824, 0.0644) (multiplicity 8)

***

Most stable: P (next structure +44.5 kJ/mol of atoms)

***

## P
Here is an optimized crystal structure of Zn2Pd4Au from Alexandria via LeMat-Bulk. Energies are from PBE.

Properties
Total magnetization: 0.0 μB per formula unit
Theoretical density: 10.72 Mg/m³

a = 6.1362 Å, b = 6.1362 Å, c = 6.2010 Å
α = 90.00°, β = 90.00°, γ = 90.00°
Space group I4/mmm (No. 139)
Symmetry-distinct sites (fractional):
Zn (0.0000, 0.5000, 0.0000) (multiplicity 4)
Pd (0.2500, 0.2500, 0.2500) (multiplicity 8)
Au (0.0000, 0.0000, 0.0000) (multiplicity 2)

***

## Q
Here is an optimized crystal structure of Zn2Pd4Au from Alexandria via LeMat-Bulk. Energies are from PBE.

Properties
Total magnetization: 0.0 μB per formula unit
Theoretical density: 11.30 Mg/m³

a = 6.5434 Å, b = 5.4142 Å, c = 6.9426 Å
α = 90.00°, β = 115.76°, γ = 90.00°
Space group P2_1/m (No. 11)
Symmetry-distinct sites (fractional):
Zn (0.0481, 0.2500, 0.3408) (multiplicity 2)
Zn (0.2627, 0.7500, 0.0746) (multiplicity 2)
Pd (0.2080, 0.2500, 0.0646) (multiplicity 2)
Pd (0.3471, 0.5036, 0.7732) (multiplicity 4)
Pd (0.4765, 0.2500, 0.4931) (multiplicity 2)
Au (0.0734, 0.7500, 0.3547) (multiplicity 2)

***

Most stable: Q (next structure +1.5 kJ/mol of atoms)

***

## P
Here is an optimized crystal structure of Zn2Pd3Au2 from Alexandria via LeMat-Bulk. Energies are from PBE.

Properties
Total magnetization: 0.0 μB per formula unit
Theoretical density: 12.33 Mg/m³

a = 4.3955 Å, b = 4.3958 Å, c = 7.2020 Å
α = 107.10°, β = 90.63°, γ = 119.55°
Space group P-1 (No. 2)
Symmetry-distinct sites (fractional):
Zn (0.0928, 0.1836, 0.2777) (multiplicity 2)
Pd (0.2248, 0.4505, 0.6748) (multiplicity 2)
Pd (0.5000, 0.0000, 0.5000) (multiplicity 1)
Au (0.3649, 0.7310, 0.0974) (multiplicity 2)

***

## Q
Here is an optimized crystal structure of Zn2Pd3Au2 from Alexandria via LeMat-Bulk. Energies are from PBE.

Properties
Total magnetization: 0.0 μB per formula unit
Theoretical density: 12.69 Mg/m³

a = 8.7488 Å, b = 3.9900 Å, c = 6.4637 Å
α = 90.00°, β = 101.71°, γ = 90.00°
Space group C2/m (No. 12)
Symmetry-distinct sites (fractional):
Zn (0.2020, 0.0000, 0.1655) (multiplicity 4)
Pd (0.0000, 0.5000, 0.0000) (multiplicity 2)
Pd (0.1382, 0.5000, 0.4297) (multiplicity 4)
Au (0.0887, 0.0000, 0.7346) (multiplicity 4)

***

Most stable: Q (next structure +2.0 kJ/mol of atoms)